# 1
Here is a geometry-optimized NaNiTeS3 structure from Alexandria. Energies are from PBE-GGA.

Values from the calculation:
The uncorrected formation energy is -6.76 kcal/mol of atoms.

a b c (Å): 3.7705 8.2735 8.6344
angles (deg): 104.74 90.00 90.00
Fractional positions:
Na 0.2500 0.1919 0.2306
Ni 0.7500 0.9048 0.4052
Te 0.7500 0.3184 0.8276
Ni 0.2500 0.0952 0.5948
S 0.7500 0.4460 0.1644
S 0.7500 0.8968 0.1289
S 0.2500 0.1032 0.8711
S 0.7500 0.1836 0.5004
S 0.2500 0.5540 0.8356
Te 0.2500 0.6816 0.1724
Na 0.7500 0.8081 0.7694
S 0.2500 0.8164 0.4996



# 2
Here is a geometry-optimized NaUBr4 structure from Alexandria. Energies are from PBE-GGA.

Values from the calculation:
The uncorrected formation energy is -30.55 kcal/mol of atoms.

a b c (Å): 7.3401 7.4685 9.6073
angles (deg): 106.28 105.77 106.49
Fractional positions:
Br 0.8212 0.5869 0.6209
Br 0.7002 0.9660 0.3791
Br 0.5501 0.2895 0.0869
Na 0.3482 0.5982 0.1964
Na 0.6518 0.4018 0.8036
Br 0.2998 0.0340 0.6209
Br 0.0368 0.7974 0.0869
U 0.1716 0.9216 0.8432
Br 0.4499 0.7105 0.9131
U 0.8284 0.0784 0.1568
Br 0.1788 0.4131 0.3791
Br 0.9632 0.2026 0.9131



# 3
Here is a geometry-optimized Rb2AgPbI5 structure from Alexandria. Energies are from PBE-GGA.

Values from the calculation:
The uncorrected formation energy is -21.82 kcal/mol of atoms.

a b c (Å): 4.8296 11.0384 15.3437
angles (deg): 90.00 90.00 102.64
Fractional positions:
Pb 0.7950 0.5900 0.5210
I 0.6476 0.2953 0.5078
Rb 0.1112 0.2223 0.6879
I 0.7111 0.4222 0.1655
Rb 0.1234 0.2469 0.3233
Pb 0.2050 0.4100 0.0210
I 0.3524 0.7047 0.0078
Rb 0.8888 0.7777 0.1879
I 0.4988 0.9976 0.7731
I 0.9489 0.8977 0.5354
Ag 0.4434 0.8869 0.4365
I 0.0511 0.1023 0.0354
I 0.6953 0.3906 0.8735
I 0.2889 0.5778 0.6655
Ag 0.5566 0.1131 0.9365
I 0.3047 0.6094 0.3735
I 0.5012 0.0024 0.2731
Rb 0.8766 0.7531 0.8233



# 4
Here is a geometry-optimized USnIrRu structure from Alexandria. Energies are from PBE-GGA.

Values from the calculation:
The value obtained for the formation energy is -0.240 eV/atom.

a b c (Å): 4.7340 4.7340 4.7340
angles (deg): 60.00 60.00 60.00
Fractional positions:
Sn 0.5000 0.5000 0.5000
Ru 0.7500 0.7500 0.7500
Ir 0.2500 0.2500 0.2500
U 0.0000 0.0000 0.0000



# 5
Here is a geometry-optimized HoPa2Ga structure from Alexandria. Energies are from PBE-GGA.

Values from the calculation:
The value obtained for the formation energy is -0.098 eV/atom.

a b c (Å): 5.0414 4.3294 4.3294
angles (deg): 90.00 90.00 90.00
Fractional positions:
Ho 0.5000 0.5000 0.5000
Pa 0.0000 0.5000 0.0000
Ga 0.5000 0.0000 0.0000
Pa 0.0000 0.0000 0.5000



# 6
Here is a geometry-optimized SrTcBr2 structure from Alexandria. Energies are from PBE-GGA.

Values from the calculation:
The uncorrected formation energy is -4.55 kcal/mol of atoms.

a b c (Å): 4.0532 4.0690 6.5510
angles (deg): 90.00 90.00 90.00
Fractional positions:
Br 0.0000 0.0000 0.9335
Br 0.5000 0.5000 0.3274
Sr 0.0000 0.0000 0.4736
Tc 0.5000 0.5000 0.7655



# 7
Here is a geometry-optimized Cu3Au2 structure from Alexandria. Energies are from PBE-GGA.

Values from the calculation:
The value obtained for the formation energy is 0.055 eV/atom.

a b c (Å): 4.9539 4.9539 7.8264
angles (deg): 71.55 71.55 60.00
Fractional positions:
Cu 0.2501 0.2499 0.7500
Au 0.3133 0.3133 0.0602
Au 0.1867 0.1867 0.4398
Cu 0.7499 0.7501 0.2500
Au 0.8133 0.8133 0.5602
Cu 0.7501 0.2500 0.2500
Cu 0.2500 0.7499 0.2500
Cu 0.2499 0.7500 0.7500
Au 0.6867 0.6867 0.9398
Cu 0.7500 0.2501 0.7500



# 8
Here is a geometry-optimized Tb3Sm3Ga4 structure from Alexandria. Energies are from PBE-GGA.

Values from the calculation:
The value obtained for the formation energy is -0.510 eV/atom.

a b c (Å): 4.4572 7.6898 7.6898
angles (deg): 89.61 90.00 90.00
Fractional positions:
Tb 0.5000 0.1751 0.8249
Sm 0.5000 0.8268 0.1732
Ga 0.0000 0.6186 0.3814
Tb 0.0000 0.9997 0.5005
Sm 0.5000 0.6738 0.6748
Ga 0.0000 0.1200 0.1171
Ga 0.0000 0.3784 0.6216
Sm 0.5000 0.3252 0.3262
Tb 0.0000 0.4995 0.0003
Ga 0.0000 0.8829 0.8800



# 9
Here is a geometry-optimized Y3CdCl structure from Alexandria. Energies are from PBE-GGA.

Values from the calculation:
The uncorrected formation energy is -11.29 kcal/mol of atoms.

a b c (Å): 5.1492 5.1492 5.1492
angles (deg): 90.00 90.00 90.00
Fractional positions:
Cd 0.5000 0.5000 0.5000
Y 0.0000 0.0000 0.5000
Y 0.0000 0.5000 0.0000
Y 0.5000 0.0000 0.0000
Cl 0.0000 0.0000 0.0000



# 10
Here is a geometry-optimized TaAg2Cl structure from Alexandria. Energies are from PBE-GGA.

Values from the calculation:
The uncorrected formation energy is 7.83 kcal/mol of atoms.

a b c (Å): 5.6059 5.6059 2.8810
angles (deg): 89.98 89.98 124.69
Fractional positions:
Ta 0.0000 0.5000 0.5000
Ag 0.0000 0.0000 0.0000
Cl 0.5000 0.0000 0.5000
Ag 0.5000 0.5000 0.0000



# 11
Here is a geometry-optimized Hg3Br2O2 structure from Alexandria. Energies are from PBE-GGA.

Values from the calculation:
The uncorrected formation energy is -7.81 kcal/mol of atoms.

a b c (Å): 6.8991 7.0261 7.6104
angles (deg): 90.00 112.26 90.00
Fractional positions:
Hg 0.2702 0.1397 0.7320
Hg 0.7298 0.8603 0.2680
O 0.2582 0.4058 0.5998
Br 0.2614 0.3655 0.0903
Br 0.2386 0.8655 0.4097
O 0.7582 0.0942 0.0998
Hg 0.7702 0.3603 0.2320
Hg 0.5000 0.5000 0.5000
Br 0.7614 0.1345 0.5903
Br 0.7386 0.6345 0.9097
O 0.2418 0.9058 0.9002
Hg 0.2298 0.6397 0.7680
O 0.7418 0.5942 0.4002
Hg 0.0000 0.0000 0.0000



# 12
Here is a geometry-optimized Mg2ScSnH structure from Alexandria. Energies are from PBE-GGA.

Values from the calculation:
Its total energy is -3.686 eV per atom.

a b c (Å): 4.4519 4.4519 4.3682
angles (deg): 90.00 90.00 90.00
Fractional positions:
Sn 0.5000 0.5000 0.5000
Mg 0.5000 0.0000 0.0000
Sc 0.0000 0.0000 0.5000
Mg 0.0000 0.5000 0.0000
H 0.0000 0.0000 0.0000



Quick rundown of calculated volume, same order as above: 21.71 37.34 44.34 18.75 23.62 27.01 15.48 26.36 27.31 18.61 24.39 17.31 Å³/atom
Quick rundown of ρ, same order as above: 3.895 4.303 4.662 14.388 12.243 5.309 12.539 7.603 5.042 9.639 7.720 4.091 Mg/m³